Here is SrSn6Se8 after structural relaxation from the Alexandria database. Energies are from PBE-GGA.

Cell and atoms, written as POSCAR:
```
SrSn6Se8
1.0
-2.596 0.820 3.454
-7.034 4.770 -6.419
-0.764 -10.451 1.906
Sr Sn Se
1 6 8
Cartesian
-1.298 0.410 1.727 Sr
-6.768 2.410 -1.593 Sn
-8.374 -0.960 -2.000 Sn
-5.345 -0.574 0.185 Sn
-3.626 -7.271 0.535 Sn
-2.020 -3.901 0.941 Sn
-5.049 -4.286 -1.244 Sn
-9.038 2.462 -3.130 Se
-7.648 -3.275 -0.724 Se
-4.052 1.769 0.782 Se
-1.356 -7.323 2.072 Se
-2.746 -1.585 -0.334 Se
-6.342 -6.629 -1.840 Se
-4.797 -4.763 1.717 Se
-5.597 -0.097 -2.775 Se
```

Computed properties:
N(E_F) = 0.448 states/eV/atom
raw formation energy = -0.546 eV/atom
raw total energy = -4.118 eV/atom

---

Here is Sr2SnSe after structural relaxation from the Alexandria database. Energies are from PBE-GGA.

Cell and atoms, written as POSCAR:
```
Sr2SnSe
1.0
4.236 0.000 0.000
2.118 3.669 0.000
2.118 1.223 10.349
Sr Sn Se
2 1 1
Cartesian
2.118 1.223 7.084 Sr
6.355 3.669 3.264 Sr
0.000 0.000 0.000 Sn
4.236 2.446 5.174 Se
```

Computed properties:
N(E_F) = 0.830 states/eV/atom
excess energy over the best structure of this formula in the dataset = 0.097 eV/atom
raw formation energy = -0.797 eV/atom
raw total energy = -3.509 eV/atom

---

Here is SrSn2Se4 after structural relaxation from the Alexandria database. Energies are from PBE-GGA.

Cell and atoms, written as POSCAR:
```
SrSn2Se4
1.0
7.019 0.000 0.000
0.000 8.926 0.000
0.000 0.000 15.267
Sr Sn Se
4 8 16
Cartesian
6.895 2.231 4.143 Sr
3.633 2.231 11.777 Sr
0.124 6.694 11.124 Sr
3.386 6.694 3.490 Sr
2.849 2.231 1.353 Sn
0.661 2.231 8.987 Sn
4.170 6.694 13.914 Sn
6.358 6.694 6.280 Sn
0.000 4.463 0.000 Sn
3.510 0.000 7.634 Sn
0.000 0.000 0.000 Sn
3.510 4.463 7.634 Sn
5.399 2.231 1.356 Se
5.130 2.231 8.989 Se
1.621 6.694 13.912 Se
1.889 6.694 6.278 Se
1.715 2.231 6.635 Se
1.794 2.231 14.268 Se
5.304 6.694 8.632 Se
5.225 6.694 0.999 Se
1.708 4.223 2.528 Se
1.802 0.240 10.162 Se
5.312 8.686 12.739 Se
5.217 4.703 5.105 Se
5.312 4.703 12.739 Se
5.217 8.686 5.105 Se
1.708 0.240 2.528 Se
1.802 4.223 10.162 Se
```

Computed properties:
raw formation energy = -0.849 eV/atom
raw total energy = -4.224 eV/atom

---

Here is SrSn3Se after structural relaxation from the Alexandria database. Energies are from PBE-GGA.

Cell and atoms, written as POSCAR:
```
SrSn3Se
1.0
-3.632 4.195 0.695
0.289 -0.669 5.544
4.242 3.637 0.217
Sr Sn Se
1 3 1
Cartesian
0.450 3.582 3.229 Sr
0.145 -0.334 2.772 Sn
2.121 1.819 0.109 Sn
-1.816 2.097 0.348 Sn
0.000 0.000 0.000 Se
```

Computed properties:
N(E_F) = 0.468 states/eV/atom
excess energy over the best structure of this formula in the dataset = 0.000 eV/atom
raw formation energy = -0.045 eV/atom
raw total energy = -3.480 eV/atom

---

Here is Sr4Sn2Se9 after structural relaxation from the Alexandria database. Energies are from PBE-GGA.

Cell and atoms, written as POSCAR:
```
Sr4Sn2Se9
1.0
-7.380 -0.525 -4.655
-1.553 -11.418 3.750
-8.504 5.385 12.874
Sr Sn Se
16 8 36
Cartesian
-11.420 1.952 5.617 Sr
-10.120 1.965 11.738 Sr
-13.493 -2.936 9.455 Sr
-7.769 2.212 7.919 Sr
-6.017 -8.510 6.352 Sr
-9.842 -2.676 11.757 Sr
-7.874 -5.658 9.037 Sr
-13.828 1.701 9.399 Sr
-7.595 -3.882 0.212 Sr
-3.944 -3.622 2.514 Sr
-5.855 -0.637 5.271 Sr
-11.582 -5.922 6.698 Sr
-9.564 -0.901 2.932 Sr
-7.317 -8.524 0.231 Sr
-3.609 -8.260 2.570 Sr
-9.668 -8.770 4.050 Sr
-12.090 -6.230 11.662 Sn
-5.347 -0.329 0.307 Sn
-7.341 -5.267 4.025 Sn
-10.096 -1.292 7.944 Sn
-9.091 -6.031 15.093 Sn
-5.841 -1.889 9.472 Sn
-4.217 -4.144 7.152 Sn
-0.966 -0.002 1.531 Sn
-8.507 -6.417 6.004 Se
-12.784 -3.902 12.499 Se
-7.911 -0.544 0.179 Se
-4.120 -0.274 2.570 Se
-7.130 2.854 10.981 Se
-1.669 -0.119 -1.053 Se
-6.698 -3.135 7.259 Se
-5.711 -0.407 -3.602 Se
-8.627 -0.286 13.708 Se
-10.740 -3.423 4.710 Se
-5.257 0.324 8.298 Se
-3.238 -2.490 5.415 Se
-1.430 -5.747 2.916 Se
-5.113 -6.069 0.584 Se
-1.029 -2.544 1.918 Se
-10.440 -3.722 8.764 Se
-9.527 -6.014 11.790 Se
-2.927 -8.887 5.644 Se
-10.856 2.742 8.694 Se
-8.743 -0.310 9.904 Se
-8.694 -6.249 2.065 Se
-8.930 -0.141 5.965 Se
-9.028 -3.489 14.706 Se
-10.015 -8.152 8.589 Se
-4.653 -2.657 -0.530 Se
-6.581 -9.301 3.275 Se
-13.317 -6.284 9.399 Se
-7.422 1.594 3.380 Se
-12.324 -0.490 11.385 Se
-12.534 -0.580 7.512 Se
-4.800 -6.357 8.327 Se
-6.997 -2.837 3.205 Se
-3.712 1.898 5.670 Se
-6.819 -3.543 11.210 Se
-6.346 -7.931 10.955 Se
-4.903 -5.979 4.457 Se
```

Computed properties:
raw formation energy = -1.245 eV/atom
raw total energy = -4.318 eV/atom

---

Here is SrSn2Se3 after structural relaxation from the Alexandria database. Energies are from PBE-GGA.

Cell and atoms, written as POSCAR:
```
SrSn2Se3
1.0
-2.496 3.426 -1.014
-4.817 -3.725 -0.731
2.118 0.898 7.192
Sr Sn Se
1 2 3
Cartesian
-2.597 0.300 2.724 Sr
-5.744 -0.097 -0.241 Sn
0.550 0.697 5.688 Sn
-3.319 1.757 0.057 Se
-1.875 -1.157 5.390 Se
-0.189 2.162 3.089 Se
```

Computed properties:
excess energy over the best structure of this formula in the dataset = 0.000 eV/atom
raw formation energy = -0.961 eV/atom
raw total energy = -4.318 eV/atom

---

Here is SrSn4Se5 after structural relaxation from the Alexandria database. Energies are from PBE-GGA.

Cell and atoms, written as POSCAR:
```
SrSn4Se5
1.0
-3.551 -2.452 -0.327
3.383 -4.617 -2.116
1.594 -0.003 11.356
Sr Sn Se
1 4 5
Cartesian
0.000 0.000 0.000 Sr
1.206 -2.825 8.095 Sn
0.816 -5.643 4.819 Sn
0.610 -1.429 4.094 Sn
0.220 -4.247 0.819 Sn
-1.463 -1.957 1.930 Se
-0.866 -3.356 5.938 Se
2.293 -3.716 2.975 Se
1.692 -2.308 -1.058 Se
2.890 -5.115 6.983 Se
```

Computed properties:
raw formation energy = -0.749 eV/atom
raw total energy = -4.260 eV/atom

---

Here is SrSn2Se after structural relaxation from the Alexandria database. Energies are from PBE-GGA.

Cell and atoms, written as POSCAR:
```
SrSn2Se
1.0
-7.655 -3.814 3.238
0.063 -5.992 -6.908
-2.141 -6.809 -0.167
Sr Sn Se
2 4 2
Cartesian
0.000 0.000 0.000 Sr
-6.796 -7.763 0.618 Sr
-4.958 -4.659 0.969 Sn
-1.806 -6.100 -3.805 Sn
-4.450 -9.060 -1.820 Sn
-8.251 -13.410 -3.018 Sn
-3.796 -4.903 -1.835 Se
-2.937 -8.852 -4.455 Se
```

Computed properties:
N(E_F) = 0.640 states/eV/atom
raw formation energy = -0.431 eV/atom
raw total energy = -3.724 eV/atom

---

Here is SrSnSe after structural relaxation from the Alexandria database. Energies are from PBE-GGA.

Cell and atoms, written as POSCAR:
```
SrSnSe
1.0
4.174 0.000 0.000
-2.087 3.617 0.000
0.000 0.000 12.936
Sn Se Sr
2 2 2
Cartesian
2.087 0.803 0.000 Sn
0.000 2.008 6.468 Sn
2.087 0.804 4.532 Se
2.087 0.804 8.404 Se
0.000 2.010 10.364 Sr
0.000 2.010 2.572 Sr
```

Computed properties:
N(E_F) = 0.052 states/eV/atom
raw formation energy = -0.835 eV/atom
raw total energy = -3.892 eV/atom

---

Here is SrSn2Se2 after structural relaxation from the Alexandria database. Energies are from PBE-GGA.

Cell and atoms, written as POSCAR:
```
SrSn2Se2
1.0
-6.736 -1.169 4.451
0.662 -8.055 -1.113
2.498 -0.306 3.701
Sr Sn Se
2 4 4
Cartesian
0.000 0.000 0.000 Sr
-3.037 -4.612 1.669 Sr
0.485 -5.844 1.896 Sn
-2.791 -7.550 3.967 Sn
-4.061 -3.685 5.143 Sn
-0.785 -1.979 3.072 Sn
-1.721 -7.143 0.571 Se
-5.205 -6.313 2.992 Se
-4.353 -2.080 2.767 Se
-0.869 -2.911 0.346 Se
```

Computed properties:
N(E_F) = 0.206 states/eV/atom
excess energy over the best structure of this formula in the dataset = 0.046 eV/atom
raw formation energy = -0.635 eV/atom
raw total energy = -3.966 eV/atom

---

Here is SrSn2Se3 after structural relaxation from the Alexandria database. Energies are from PBE-GGA.

Cell and atoms, written as POSCAR:
```
SrSn2Se3
1.0
4.099 0.000 0.000
0.000 7.577 0.000
0.000 0.000 11.250
Sr Sn Se
2 4 6
Cartesian
0.000 0.178 9.771 Sr
0.000 3.967 1.479 Sr
0.000 7.524 2.065 Sn
2.050 0.169 5.617 Sn
0.000 3.735 9.186 Sn
2.050 3.958 5.633 Sn
2.050 1.636 0.696 Se
2.050 1.750 7.955 Se
0.000 1.634 4.226 Se
2.050 5.425 10.554 Se
2.050 5.538 3.296 Se
0.000 5.423 7.025 Se
```

Computed properties:
N(E_F) = 0.001 states/eV/atom
excess energy over the best structure of this formula in the dataset = 0.068 eV/atom
raw formation energy = -0.893 eV/atom
raw total energy = -4.250 eV/atom

---

Here is Sr2SnSe4 after structural relaxation from the Alexandria database. Energies are from PBE-GGA.

Cell and atoms, written as POSCAR:
```
Sr2SnSe4
1.0
6.636 0.033 0.000
-2.304 6.223 0.000
0.000 0.000 10.643
Sr Sn Se
4 2 8
Cartesian
-0.267 3.277 7.982 Sr
3.161 0.903 2.661 Sr
3.422 4.941 5.321 Sr
3.422 4.941 0.000 Sr
3.390 0.600 7.982 Sn
-0.631 3.385 2.661 Sn
5.968 0.312 7.982 Se
-1.808 5.697 2.661 Se
2.993 3.133 7.982 Se
1.879 3.904 2.661 Se
0.271 5.571 5.898 Se
5.120 2.213 4.745 Se
0.271 5.571 10.067 Se
5.120 2.213 0.576 Se
```

Computed properties:
N(E_F) = 0.000 states/eV/atom
excess energy over the best structure of this formula in the dataset = 0.000 eV/atom
raw formation energy = -1.327 eV/atom
raw total energy = -4.370 eV/atom